# 1
First-principles (PBE) data for a relaxed structure of Hf2ScCo4Ge4, as listed in OQMD.

```
Hf2ScCo4Ge4
1.0
-1.9157 3.3202 6.4273
1.9157 -3.3202 6.4273
1.9157 3.3202 -6.4273
Co Ge Hf Sc
4 4 2 1
Cartesian
0.0000 1.9906 8.7041
0.0000 1.9906 4.1505
1.9157 1.3295 -2.2768
1.9157 1.3295 2.2768
0.0000 0.0000 2.7625
0.0000 0.0000 10.0920
0.0000 1.3099 6.4273
1.9157 2.0103 0.0000
0.0000 3.3202 1.6609
1.9157 0.0000 4.7663
0.0000 0.0000 0.0000
```

SG	No. 71
total energy	-0.53507	Ry/atom



# 2
First-principles (PBE) data for a relaxed structure of HfScCoGe, as listed in OQMD.

```
HfScCoGe
1.0
-1.3560 -3.3253 2.7653
-2.8731 -3.1671 -1.5028
1.4515 -4.2406 -0.6731
Co Ge Hf Sc
1 1 1 1
Cartesian
-2.0831 -8.0497 0.4421
0.0000 0.0000 0.0000
-1.3888 -5.3665 0.2947
-0.6944 -2.6832 0.1474
```

SG	No. 216
total energy	-0.51798	Ry/atom



# 3
First-principles (PBE) data for a relaxed structure of Hf3Co4Si2Ge2, as listed in OQMD.

```
Hf3Co4Si2Ge2
1.0
-1.8878 3.2594 6.4027
1.8878 -3.2594 6.4027
1.8878 3.2594 -6.4027
Co Ge Hf Si
4 2 3 2
Cartesian
0.0000 1.9595 2.2987
1.8878 -1.2999 4.1039
0.0000 4.5593 2.2987
1.8878 1.2999 4.1039
0.0000 1.3105 0.0000
0.0000 5.2083 0.0000
0.0000 0.0000 6.4027
0.0000 3.2594 4.7329
1.8878 0.0000 1.6698
0.0000 0.0000 3.6440
0.0000 0.0000 9.1613
```

SG	No. 71
total energy	-0.57748	Ry/atom



# 4
First-principles (PBE) data for a relaxed structure of HfZnCoGe, as listed in OQMD.

```
HfZnCoGe
1.0
-3.7222 1.4012 1.9208
-0.9726 4.3080 0.0505
-3.3161 1.5445 -2.4749
Co Ge Hf Zn
1 1 1 1
Cartesian
-6.0082 5.4403 -0.3777
0.0000 0.0000 0.0000
-2.0027 1.8134 -0.1259
-4.0054 3.6269 -0.2518
```

SG	No. 216
total energy	-0.42850	Ry/atom



# 5
First-principles (PBE) data for a relaxed structure of HfZnCoGe, as listed in OQMD.

```
HfZnCoGe
1.0
-3.5226 -1.8239 1.8879
-3.9573 0.4284 -1.8588
-1.9393 -3.4738 -1.8632
Co Ge Hf Zn
1 1 1 1
Cartesian
-7.0644 -3.6519 -1.3756
0.0000 0.0000 0.0000
-4.7096 -2.4346 -0.9170
-2.3548 -1.2173 -0.4585
```

SG	No. 216
total energy	-0.43145	Ry/atom



# 6
First-principles (PBE) data for a relaxed structure of HfZrCoGe, as listed in OQMD.

```
HfZrCoGe
1.0
-0.1445 -4.2375 1.7931
-4.0158 -1.7817 1.3754
-1.9260 -3.4404 -2.3762
Co Ge Hf Zr
1 1 1 1
Cartesian
-4.5647 -7.0947 0.5942
0.0000 0.0000 0.0000
-3.0431 -4.7298 0.3961
-1.5216 -2.3649 0.1981
```

SG	No. 216
total energy	-0.55020	Ry/atom



# 7
First-principles (PBE) data for a relaxed structure of CoHg2Ge, as listed in OQMD.

```
CoHg2Ge
1.0
0.0000 3.3459 3.3459
3.3459 0.0000 3.3459
3.3459 3.3459 0.0000
Co Ge Hg
1 1 2
Cartesian
1.6730 1.6730 1.6730
3.3459 3.3459 3.3459
0.0000 0.0000 0.0000
5.0189 5.0189 5.0189
```

SG	No. 216
total energy	-0.18309	Ry/atom



# 8
First-principles (PBE) data for a relaxed structure of LuCoHgGe, as listed in OQMD.

```
LuCoHgGe
1.0
1.8100 -2.8517 3.3100
2.8319 1.7655 3.3507
-1.5227 0.2976 4.4673
Co Ge Hg Lu
1 1 1 1
Cartesian
2.3394 -0.5914 8.3460
0.0000 0.0000 0.0000
0.7798 -0.1971 2.7820
1.5596 -0.3943 5.5640
```

SG	No. 216
total energy	-0.30095	Ry/atom



# 9
First-principles (PBE) data for a relaxed structure of LuCoHgGe, as listed in OQMD.

```
LuCoHgGe
1.0
-3.8670 -1.1230 2.3733
-0.6747 1.6926 4.3043
-3.2992 3.2243 0.7528
Co Ge Hg Lu
1 1 1 1
Cartesian
-5.8806 2.8454 5.5728
0.0000 0.0000 0.0000
-3.9204 1.8969 3.7152
-1.9602 0.9485 1.8576
```

SG	No. 216
total energy	-0.31022	Ry/atom



# 10
First-principles (PBE) data for a relaxed structure of CoHgGeMo, as listed in OQMD.

```
CoHgGeMo
1.0
0.0000 3.1532 3.1532
3.1532 0.0000 3.1532
3.1532 3.1532 0.0000
Co Ge Hg Mo
1 1 1 1
Cartesian
4.7298 4.7298 4.7298
0.0000 0.0000 0.0000
3.1532 3.1532 3.1532
1.5766 1.5766 1.5766
```

SG	No. 216
total energy	-0.38184	Ry/atom



# 11
First-principles (PBE) data for a relaxed structure of CoHgGeMo, as listed in OQMD.

```
CoHgGeMo
1.0
0.0000 3.1984 3.1984
3.1984 0.0000 3.1984
3.1984 3.1984 0.0000
Co Ge Hg Mo
1 1 1 1
Cartesian
4.7976 4.7976 4.7976
0.0000 0.0000 0.0000
1.5992 1.5992 1.5992
3.1984 3.1984 3.1984
```

SG	No. 216
total energy	-0.36210	Ry/atom



# 12
First-principles (PBE) data for a relaxed structure of NbCoHgGe, as listed in OQMD.

```
NbCoHgGe
1.0
0.0000 3.2346 3.2346
3.2346 0.0000 3.2346
3.2346 3.2346 0.0000
Co Ge Hg Nb
1 1 1 1
Cartesian
4.8519 4.8519 4.8519
0.0000 0.0000 0.0000
1.6173 1.6173 1.6173
3.2346 3.2346 3.2346
```

SG	No. 216
total energy	-0.37003	Ry/atom



# 13
First-principles (PBE) data for a relaxed structure of NbCoHgGe, as listed in OQMD.

```
NbCoHgGe
1.0
0.0000 3.1998 3.1998
3.1998 0.0000 3.1998
3.1998 3.1998 0.0000
Co Ge Hg Nb
1 1 1 1
Cartesian
4.7997 4.7997 4.7997
0.0000 0.0000 0.0000
3.1998 3.1998 3.1998
1.5999 1.5999 1.5999
```

SG	No. 216
total energy	-0.38123	Ry/atom



# 14
First-principles (PBE) data for a relaxed structure of CoHgGeOs, as listed in OQMD.

```
CoHgGeOs
1.0
0.0000 3.1142 3.1142
3.1142 0.0000 3.1142
3.1142 3.1142 0.0000
Co Ge Hg Os
1 1 1 1
Cartesian
4.6714 4.6714 4.6714
0.0000 0.0000 0.0000
3.1142 3.1142 3.1142
1.5571 1.5571 1.5571
```

SG	No. 216
total energy	-0.38372	Ry/atom



# 15
First-principles (PBE) data for a relaxed structure of CoHgGePd, as listed in OQMD.

```
CoHgGePd
1.0
0.0000 3.1592 3.1592
3.1592 0.0000 3.1592
3.1592 3.1592 0.0000
Co Ge Hg Pd
1 1 1 1
Cartesian
4.7388 4.7388 4.7388
0.0000 0.0000 0.0000
3.1592 3.1592 3.1592
1.5796 1.5796 1.5796
```

SG	No. 216
total energy	-0.30684	Ry/atom



# 16
First-principles (PBE) data for a relaxed structure of CoHgGeS3, as listed in OQMD.

```
CoHgGeS3
1.0
6.7164 -1.6938 0.0000
6.7164 1.6938 0.0000
0.0000 0.0000 11.6736
Co Ge Hg S
2 2 2 6
Cartesian
5.5186 0.0000 2.9184
7.9143 0.0000 8.7552
9.6566 0.0000 2.9184
3.7763 0.0000 8.7552
0.0000 0.0000 0.0000
0.0000 0.0000 5.8368
3.9991 0.0000 1.3951
0.0683 0.0000 2.9184
3.9991 0.0000 4.4417
9.4338 0.0000 7.2319
13.3646 0.0000 8.7552
9.4338 0.0000 10.2785
```

SG	No. 63
total energy	-0.29964	Ry/atom



# 17
First-principles (PBE) data for a relaxed structure of CoHgGeS3, as listed in OQMD.

```
CoHgGeS3
1.0
7.5816 -1.7306 0.0000
7.5816 1.7306 0.0000
0.0000 0.0000 8.9596
Co Ge Hg S
2 2 2 6
Cartesian
0.0000 0.0000 0.0000
0.0000 0.0000 4.4798
9.7509 0.0000 2.2399
5.4124 0.0000 6.7197
4.3683 0.0000 2.2399
10.7950 0.0000 6.7197
6.1101 0.0000 0.1870
0.5007 0.0000 2.2399
6.1101 0.0000 4.2928
9.0532 0.0000 4.6667
14.6626 0.0000 6.7197
9.0532 0.0000 8.7726
```

SG	No. 63
total energy	-0.31511	Ry/atom



# 18
First-principles (PBE) data for a relaxed structure of TaCoHgGe, as listed in OQMD.

```
TaCoHgGe
1.0
-1.8989 -3.9901 -0.8478
-1.5912 -2.4992 3.3864
-4.4386 -0.5331 0.5103
Co Ge Hg Ta
1 1 1 1
Cartesian
-5.9464 -5.2668 2.2866
0.0000 0.0000 0.0000
-3.9643 -3.5112 1.5244
-1.9821 -1.7556 0.7622
```

SG	No. 216
total energy	-0.40545	Ry/atom



# 19
First-principles (PBE) data for a relaxed structure of TaCoHgGe, as listed in OQMD.

```
TaCoHgGe
1.0
-3.1915 -3.0478 1.2271
-3.5804 1.3261 2.5304
-4.1796 0.1840 -1.8647
Co Ge Hg Ta
1 1 1 1
Cartesian
-8.2136 -1.1532 1.4195
0.0000 0.0000 0.0000
-2.7379 -0.3844 0.4732
-5.4758 -0.7688 0.9464
```

SG	No. 216
total energy	-0.39735	Ry/atom



# 20
First-principles (PBE) data for a relaxed structure of CoTcHgGe, as listed in OQMD.

```
CoTcHgGe
1.0
0.0000 3.1148 3.1148
3.1148 0.0000 3.1148
3.1148 3.1148 0.0000
Co Ge Hg Tc
1 1 1 1
Cartesian
4.6722 4.6722 4.6722
0.0000 0.0000 0.0000
3.1148 3.1148 3.1148
1.5574 1.5574 1.5574
```

SG	No. 216
total energy	-0.37849	Ry/atom



# 21
First-principles (PBE) data for a relaxed structure of CoTcHgGe, as listed in OQMD.

```
CoTcHgGe
1.0
-3.7383 2.5606 0.0727
-0.6316 3.1780 -3.1683
-3.1925 -0.5608 -3.1671
Co Ge Hg Tc
1 1 1 1
Cartesian
-5.6718 3.8833 -4.6970
0.0000 0.0000 0.0000
-1.8906 1.2944 -1.5657
-3.7812 2.5889 -3.1314
```

SG	No. 216
total energy	-0.35728	Ry/atom



# 22
First-principles (PBE) data for a relaxed structure of CoHgGeTe3, as listed in OQMD.

```
CoHgGeTe3
1.0
0.2869 2.1675 -6.3463
-3.2311 0.4296 -5.8678
-4.9893 11.0797 3.5585
Co Ge Hg Te
2 2 2 6
Cartesian
-2.4861 3.8626 -4.2495
-5.4474 9.8141 -4.4062
-3.5817 4.8290 -8.7943
-4.3519 8.8478 0.1386
0.0000 0.0000 0.0000
-2.4946 5.5399 1.7793
-1.3629 1.6858 -3.8973
-1.3596 2.8690 0.4237
-3.1349 5.6210 -2.6335
-4.7986 8.0558 -6.0223
-6.5739 10.8078 -9.0794
-6.5706 11.9910 -4.7584
```

SG	No. 63
total energy	-0.25860	Ry/atom



# 23
First-principles (PBE) data for a relaxed structure of CoHgGeTe3, as listed in OQMD.

```
CoHgGeTe3
1.0
8.0976 -1.9220 0.0000
8.0976 1.9220 0.0000
0.0000 0.0000 10.3547
Co Ge Hg Te
2 2 2 6
Cartesian
0.0000 0.0000 0.0000
0.0000 0.0000 5.1774
10.6155 0.0000 2.5887
5.5797 0.0000 7.7660
4.6059 0.0000 2.5887
11.5893 0.0000 7.7660
6.4106 0.0000 0.2033
0.4860 0.0000 2.5887
6.4106 0.0000 4.9740
9.7847 0.0000 5.3807
15.7092 0.0000 7.7660
9.7847 0.0000 10.1514
```

SG	No. 63
total energy	-0.26637	Ry/atom



# 24
First-principles (PBE) data for a relaxed structure of YCoHgGe, as listed in OQMD.

```
YCoHgGe
1.0
-0.4239 -0.1149 4.7630
2.1119 3.3594 2.6708
-2.6517 3.2874 2.2450
Co Ge Hg Y
1 1 1 1
Cartesian
-0.7228 4.8989 7.2591
0.0000 0.0000 0.0000
-0.2409 1.6329 2.4197
-0.4819 3.2659 4.8394
```

SG	No. 216
total energy	-0.33713	Ry/atom



# 25
First-principles (PBE) data for a relaxed structure of YCoHgGe, as listed in OQMD.

```
YCoHgGe
1.0
0.0000 3.3525 3.3525
3.3525 0.0000 3.3525
3.3525 3.3525 0.0000
Co Ge Hg Y
1 1 1 1
Cartesian
5.0288 5.0288 5.0288
0.0000 0.0000 0.0000
3.3525 3.3525 3.3525
1.6763 1.6763 1.6763
```

SG	No. 216
total energy	-0.34597	Ry/atom



# 26
First-principles (PBE) data for a relaxed structure of ZnCoHgGe, as listed in OQMD.

```
ZnCoHgGe
1.0
0.0000 3.1744 3.1744
3.1744 0.0000 3.1744
3.1744 3.1744 0.0000
Co Ge Hg Zn
1 1 1 1
Cartesian
4.7615 4.7615 4.7615
0.0000 0.0000 0.0000
3.1744 3.1744 3.1744
1.5872 1.5872 1.5872
```

SG	No. 216
total energy	-0.21645	Ry/atom



# 27
First-principles (PBE) data for a relaxed structure of ZnCoHgGe, as listed in OQMD.

```
ZnCoHgGe
1.0
0.4704 -4.4439 0.6120
-3.5812 -2.7181 -0.3628
-0.3522 -2.8098 -3.5108
Co Ge Hg Zn
1 1 1 1
Cartesian
-2.5972 -7.4788 -2.4462
0.0000 0.0000 0.0000
-0.8657 -2.4929 -0.8154
-1.7315 -4.9859 -1.6308
```

SG	No. 216
total energy	-0.21232	Ry/atom



# 28
First-principles (PBE) data for a relaxed structure of HoCoGe2, as listed in OQMD.

```
HoCoGe2
1.0
1.9815 2.6071 2.5592
-1.2185 -2.2494 3.2349
6.2472 -5.7286 0.9989
Co Ge Ho
2 4 2
Cartesian
3.3507 -0.8305 3.3137
3.6595 -4.5404 3.4793
1.4844 0.4227 3.4821
3.3053 -2.7688 1.9488
3.7049 -2.6021 4.8442
5.5258 -5.7936 3.3109
0.7695 -2.5999 3.7401
6.2407 -2.7710 3.0529
```

SG	No. 63
total energy	-0.43047	Ry/atom